Material: Cd2GaHg6
Method: DFT, PBE
State: optimized geometry

Lattice parameters (Å, degrees): 7.3639 7.3639 12.0798 124.15 124.15 25.42
Closest atoms and distances in Å follow each position.
Element x y z (fractional)
Cd1 0.1711 0.1711 0.2792  7 Hg 3.08-3.40, 2 Cd 3.24, 2 Ga 3.24
Cd2 0.8289 0.8289 0.7208  7 Hg 3.08-3.40, 2 Cd 3.24, 2 Ga 3.24
Ga1 0.5000 0.5000 0.0000  4 Hg 2.90-3.12, 2 Ga 3.24, 4 Cd 3.24
Hg1 0.1136 0.1136 0.5153  5 Hg 3.07-3.24, 3 Cd 3.08-3.40
Hg2 0.2589 0.2589 0.8885  1 Ga 2.90, 4 Hg 3.12-3.24, 2 Cd 3.17
Hg3 0.4658 0.4658 0.2328  2 Cd 3.12, 1 Ga 3.12, 7 Hg 3.12-3.45
Hg4 0.5342 0.5342 0.7672  2 Cd 3.12, 1 Ga 3.12, 7 Hg 3.12-3.45
Hg5 0.7411 0.7411 0.1115  1 Ga 2.90, 4 Hg 3.12-3.24, 2 Cd 3.17
Hg6 0.8864 0.8864 0.4847  5 Hg 3.07-3.24, 3 Cd 3.08-3.40

## Properties
* calculated formation energy: 0.055 eV/atom
* ΔE to the lowest computed polymorph: 17 kJ/mol of formula units
* space-group type: No. 12
* crystal system: monoclinic